[1]
AlGaRu after structural relaxation, computed with GGA-PBE.

```
data_AlGaRu
_chemical_formula_sum 'Al2 Ga2 Ru2'
_space_group_name_H-M_alt 'I 4 m m'
_space_group_IT_number 107
_space_group_name_Hall 'I 4 -2'
_cell_length_a 2.8286
_cell_length_b 2.8286
_cell_length_c 13.2535
_cell_angle_alpha 90.00
_cell_angle_beta 90.00
_cell_angle_gamma 90.00
loop_
_atom_site_label
_atom_site_fract_x
_atom_site_fract_y
_atom_site_fract_z
_atom_site_occupancy
Al1 0.0000 0.0000 0.0000 1
Ga1 0.0000 0.0000 0.1963 1
Ru1 0.0000 0.0000 0.8192 1
```

Properties
E_form: 0.248 eV/atom



[2]
AlGaRu after structural relaxation, computed with GGA-PBE.

```
data_AlGaRu
_chemical_formula_sum 'Al2 Ga2 Ru2'
_space_group_name_H-M_alt 'P m m a'
_space_group_IT_number 51
_cell_length_a 4.7592
_cell_length_b 2.9186
_cell_length_c 6.3642
_cell_angle_alpha 90.00
_cell_angle_beta 90.00
_cell_angle_gamma 90.00
loop_
_space_group_symop_operation_xyz
'x,y,z'
'-x,-y,-z'
'-x+1/2,-y,z'
'x+1/2,y,-z'
'x+1/2,-y,-z'
'-x+1/2,y,z'
'-x,y,-z'
'x,-y,z'
loop_
_atom_site_label
_atom_site_fract_x
_atom_site_fract_y
_atom_site_fract_z
_atom_site_occupancy
Al1 0.2500 0.0000 0.1259 1
Ga1 0.0000 0.0000 0.5000 1
Ru1 0.2500 0.5000 0.8021 1
```

Properties
E_form: -0.336 eV/atom



[3]
Al2GaRu2 after structural relaxation, computed with GGA-PBE.

```
data_Al2GaRu2
_chemical_formula_sum 'Al4 Ga2 Ru4'
_space_group_name_H-M_alt 'P 4/m b m'
_space_group_IT_number 127
_space_group_name_Hall '-P 4 2ab'
_cell_length_a 6.9735
_cell_length_b 6.9735
_cell_length_c 2.9924
_cell_angle_alpha 90.00
_cell_angle_beta 90.00
_cell_angle_gamma 90.00
loop_
_atom_site_label
_atom_site_fract_x
_atom_site_fract_y
_atom_site_fract_z
_atom_site_occupancy
Al1 0.1316 0.3684 0.0000 1
Ga1 0.0000 0.0000 0.0000 1
Ru1 0.1658 0.6658 0.5000 1
```

Properties
Offset from the most stable computed form: 0.157 eV/atom
E_form: -0.323 eV/atom



[4]
Al2GaRu after structural relaxation, computed with GGA-PBE.

```
data_Al2GaRu
_chemical_formula_sum 'Al2 Ga1 Ru1'
_space_group_name_H-M_alt 'P 4/m m m'
_space_group_IT_number 123
_space_group_name_Hall '-P 4 2'
_cell_length_a 3.2538
_cell_length_b 3.2538
_cell_length_c 5.4888
_cell_angle_alpha 90.00
_cell_angle_beta 90.00
_cell_angle_gamma 90.00
loop_
_atom_site_label
_atom_site_fract_x
_atom_site_fract_y
_atom_site_fract_z
_atom_site_occupancy
Al1 0.0000 0.0000 0.2415 1
Ga1 0.5000 0.5000 0.5000 1
Ru1 0.5000 0.5000 0.0000 1
```

Properties
E_form: -0.401 eV/atom



[5]
AlGa2Ru after structural relaxation, computed with GGA-PBE.

```
data_AlGa2Ru
_chemical_formula_sum 'Al3 Ga6 Ru3'
_space_group_name_H-M_alt 'R -3 m'
_space_group_IT_number 166
_space_group_name_Hall '-R 3 2"'
_cell_length_a 2.9277
_cell_length_b 2.9277
_cell_length_c 27.3825
_cell_angle_alpha 90.00
_cell_angle_beta 90.00
_cell_angle_gamma 120.00
loop_
_atom_site_label
_atom_site_fract_x
_atom_site_fract_y
_atom_site_fract_z
_atom_site_occupancy
Al1 0.0000 0.0000 0.0000 1
Ga1 0.0000 0.0000 0.0958 1
Ru1 0.0000 0.0000 0.5000 1
```

Properties
E_form: -0.053 eV/atom



[6]
AlGa3Ru4 after structural relaxation, computed with GGA-PBE.

```
data_AlGa3Ru4
_chemical_formula_sum 'Al1 Ga3 Ru4'
_space_group_name_H-M_alt 'P m m m'
_space_group_IT_number 47
_cell_length_a 3.0196
_cell_length_b 4.2766
_cell_length_c 8.5604
_cell_angle_alpha 90.00
_cell_angle_beta 90.00
_cell_angle_gamma 90.00
loop_
_space_group_symop_operation_xyz
'x,y,z'
'-x,-y,-z'
'-x,-y,z'
'x,y,-z'
'x,-y,-z'
'-x,y,z'
'-x,y,-z'
'x,-y,z'
loop_
_atom_site_label
_atom_site_fract_x
_atom_site_fract_y
_atom_site_fract_z
_atom_site_occupancy
Al1 0.0000 0.0000 0.0000 1
Ga1 0.0000 0.0000 0.5000 1
Ga2 0.0000 0.5000 0.2475 1
Ru1 0.5000 0.0000 0.2498 1
Ru2 0.5000 0.5000 0.0000 1
Ru3 0.5000 0.5000 0.5000 1
```

Properties
E_form: -0.396 eV/atom



[7]
Al2GaRu3 after structural relaxation, computed with GGA-PBE.

```
data_Al2GaRu3
_chemical_formula_sum 'Al4 Ga2 Ru6'
_space_group_name_H-M_alt 'C m m m'
_space_group_IT_number 65
_space_group_name_Hall '-C 2 2'
_cell_length_a 4.2594
_cell_length_b 12.7929
_cell_length_c 3.0138
_cell_angle_alpha 90.00
_cell_angle_beta 90.00
_cell_angle_gamma 90.00
loop_
_atom_site_label
_atom_site_fract_x
_atom_site_fract_y
_atom_site_fract_z
_atom_site_occupancy
Al1 0.0000 0.1688 0.0000 1
Ga1 0.0000 0.5000 0.0000 1
Ru1 0.0000 0.0000 0.5000 1
Ru2 0.0000 0.3341 0.5000 1
```

Properties
E_form: -0.548 eV/atom



[8]
Al2Ga2Ru3 after structural relaxation, computed with GGA-PBE.

```
data_Al2Ga2Ru3
_chemical_formula_sum 'Al2 Ga2 Ru3'
_space_group_name_H-M_alt 'P -1'
_space_group_IT_number 2
_cell_length_a 4.2255
_cell_length_b 4.2337
_cell_length_c 7.2703
_cell_angle_alpha 106.81
_cell_angle_beta 90.08
_cell_angle_gamma 119.92
loop_
_space_group_symop_operation_xyz
'x,y,z'
'-x,-y,-z'
loop_
_atom_site_label
_atom_site_fract_x
_atom_site_fract_y
_atom_site_fract_z
_atom_site_occupancy
Al1 0.1250 0.2510 0.3745 1
Ga1 0.3748 0.7524 0.1224 1
Ru1 0.2516 0.5011 0.7554 1
Ru2 0.5000 0.0000 0.5000 1
```

Properties
E_form: -0.410 eV/atom



[9]
Al6GaRu5 after structural relaxation, computed with GGA-PBE.

```
data_Al6GaRu5
_chemical_formula_sum 'Al12 Ga2 Ru10'
_space_group_name_H-M_alt 'I m m m'
_space_group_IT_number 71
_space_group_name_Hall '-I 2 2'
_cell_length_a 4.2530
_cell_length_b 6.2396
_cell_length_c 12.4978
_cell_angle_alpha 90.00
_cell_angle_beta 90.00
_cell_angle_gamma 90.00
loop_
_atom_site_label
_atom_site_fract_x
_atom_site_fract_y
_atom_site_fract_z
_atom_site_occupancy
Al1 0.0000 0.2152 0.0000 1
Al2 0.0000 0.2678 0.3249 1
Ga1 0.0000 0.0000 0.5000 1
Ru1 0.0000 0.0000 0.1717 1
Ru2 0.0000 0.5000 0.1458 1
Ru3 0.0000 0.5000 0.5000 1
```

Properties
E_form: -0.652 eV/atom



[10]
Sc3Al2GaRu3 after structural relaxation, computed with GGA-PBE.

```
data_Sc3Al2GaRu3
_chemical_formula_sum 'Sc3 Al2 Ga1 Ru3'
_space_group_name_H-M_alt 'P -6 2 m'
_space_group_IT_number 189
_space_group_name_Hall 'P -6 -2'
_cell_length_a 7.4476
_cell_length_b 7.4476
_cell_length_c 3.0816
_cell_angle_alpha 90.00
_cell_angle_beta 90.00
_cell_angle_gamma 120.00
loop_
_atom_site_label
_atom_site_fract_x
_atom_site_fract_y
_atom_site_fract_z
_atom_site_occupancy
Sc1 0.0000 0.7137 0.0000 1
Al1 0.3333 0.6667 0.0000 1
Ga1 0.0000 0.0000 0.5000 1
Ru1 0.0000 0.3838 0.5000 1
```

Properties
E_form: -0.398 eV/atom



[11]
Sc3Al3GaRu2 after structural relaxation, computed with GGA-PBE.

```
data_Sc3Al3GaRu2
_chemical_formula_sum 'Sc3 Al3 Ga1 Ru2'
_space_group_name_H-M_alt 'P -6 2 m'
_space_group_IT_number 189
_space_group_name_Hall 'P -6 -2'
_cell_length_a 7.5471
_cell_length_b 7.5471
_cell_length_c 3.1218
_cell_angle_alpha 90.00
_cell_angle_beta 90.00
_cell_angle_gamma 120.00
loop_
_atom_site_label
_atom_site_fract_x
_atom_site_fract_y
_atom_site_fract_z
_atom_site_occupancy
Sc1 0.0000 0.7038 0.0000 1
Al1 0.0000 0.3804 0.5000 1
Ga1 0.0000 0.0000 0.5000 1
Ru1 0.3333 0.6667 0.0000 1
```

Properties
E_form: -0.439 eV/atom



[12]
ScAlGaRu after structural relaxation, computed with GGA-PBE.

```
data_ScAlGaRu
_chemical_formula_sum 'Sc4 Al4 Ga4 Ru4'
_space_group_name_H-M_alt 'F -4 3 m'
_space_group_IT_number 216
_space_group_name_Hall 'F -4 2 3'
_cell_length_a 6.3322
_cell_length_b 6.3322
_cell_length_c 6.3322
_cell_angle_alpha 90.00
_cell_angle_beta 90.00
_cell_angle_gamma 90.00
loop_
_atom_site_label
_atom_site_fract_x
_atom_site_fract_y
_atom_site_fract_z
_atom_site_occupancy
Sc1 0.0000 0.0000 0.0000 1
Al1 0.2500 0.2500 0.7500 1
Ga1 0.0000 0.0000 0.5000 1
Ru1 0.2500 0.2500 0.2500 1
```

Properties
Offset from the most stable computed form: 0.206 eV/atom
E_form: -0.332 eV/atom



[13]
ScAlGaRu after structural relaxation, computed with GGA-PBE.

```
data_ScAlGaRu
_chemical_formula_sum 'Sc4 Al4 Ga4 Ru4'
_space_group_name_H-M_alt 'F -4 3 m'
_space_group_IT_number 216
_space_group_name_Hall 'F -4 2 3'
_cell_length_a 6.2962
_cell_length_b 6.2962
_cell_length_c 6.2962
_cell_angle_alpha 90.00
_cell_angle_beta 90.00
_cell_angle_gamma 90.00
loop_
_atom_site_label
_atom_site_fract_x
_atom_site_fract_y
_atom_site_fract_z
_atom_site_occupancy
Sc1 0.0000 0.0000 0.0000 1
Al1 0.2500 0.2500 0.7500 1
Ga1 0.2500 0.2500 0.2500 1
Ru1 0.0000 0.0000 0.5000 1
```

Properties
Offset from the most stable computed form: 0.000 eV/atom
E_form: -0.538 eV/atom



[14]
AlGaRuSe2 after structural relaxation, computed with GGA-PBE.

```
data_AlGaRuSe2
_chemical_formula_sum 'Al1 Ga1 Ru1 Se2'
_space_group_name_H-M_alt 'P 4/m m m'
_space_group_IT_number 123
_space_group_name_Hall '-P 4 2'
_cell_length_a 4.9013
_cell_length_b 4.9013
_cell_length_c 4.7338
_cell_angle_alpha 90.00
_cell_angle_beta 90.00
_cell_angle_gamma 90.00
loop_
_atom_site_label
_atom_site_fract_x
_atom_site_fract_y
_atom_site_fract_z
_atom_site_occupancy
Al1 0.0000 0.0000 0.0000 1
Ga1 0.5000 0.5000 0.5000 1
Ru1 0.0000 0.0000 0.5000 1
Se1 0.0000 0.5000 0.0000 1
```

Properties
Formation energy (no corrections): 0.605 eV per atom



[15]
SmAl2GaRu2 after structural relaxation, computed with GGA-PBE.

```
data_SmAl2GaRu2
_chemical_formula_sum 'Sm1 Al2 Ga1 Ru2'
_space_group_name_H-M_alt 'P 4/m m m'
_space_group_IT_number 123
_space_group_name_Hall '-P 4 2'
_cell_length_a 4.5573
_cell_length_b 4.5573
_cell_length_c 5.6521
_cell_angle_alpha 90.00
_cell_angle_beta 90.00
_cell_angle_gamma 90.00
loop_
_atom_site_label
_atom_site_fract_x
_atom_site_fract_y
_atom_site_fract_z
_atom_site_occupancy
Sm1 0.0000 0.0000 0.0000 1
Al1 0.5000 0.5000 0.2502 1
Ga1 0.0000 0.0000 0.5000 1
Ru1 0.0000 0.5000 0.5000 1
```

Properties
E_form: -0.257 eV/atom



[16]
SmAlGaRu after structural relaxation, computed with GGA-PBE.

```
data_SmAlGaRu
_chemical_formula_sum 'Sm3 Al3 Ga3 Ru3'
_space_group_name_H-M_alt 'R 3 m'
_space_group_IT_number 160
_space_group_name_Hall 'R 3 -2"'
_cell_length_a 4.2503
_cell_length_b 4.2503
_cell_length_c 15.4372
_cell_angle_alpha 90.00
_cell_angle_beta 90.00
_cell_angle_gamma 120.00
loop_
_atom_site_label
_atom_site_fract_x
_atom_site_fract_y
_atom_site_fract_z
_atom_site_occupancy
Sm1 0.0000 0.0000 0.0000 1
Al1 0.0000 0.0000 0.7922 1
Ga1 0.0000 0.0000 0.2108 1
Ru1 0.0000 0.0000 0.4933 1
```

Properties
E_form: -0.494 eV/atom



[17]
SmAlGa2Ru2 after structural relaxation, computed with GGA-PBE.

```
data_SmAlGa2Ru2
_chemical_formula_sum 'Sm1 Al1 Ga2 Ru2'
_space_group_name_H-M_alt 'P 4/m m m'
_space_group_IT_number 123
_space_group_name_Hall '-P 4 2'
_cell_length_a 4.4953
_cell_length_b 4.4953
_cell_length_c 5.6708
_cell_angle_alpha 90.00
_cell_angle_beta 90.00
_cell_angle_gamma 90.00
loop_
_atom_site_label
_atom_site_fract_x
_atom_site_fract_y
_atom_site_fract_z
_atom_site_occupancy
Sm1 0.0000 0.0000 0.0000 1
Al1 0.0000 0.0000 0.5000 1
Ga1 0.5000 0.5000 0.2409 1
Ru1 0.0000 0.5000 0.5000 1
```

Properties
E_form: -0.246 eV/atom



[18]
SrAlGa2Ru after structural relaxation, computed with GGA-PBE.

```
data_SrAlGa2Ru
_chemical_formula_sum 'Sr1 Al1 Ga2 Ru1'
_space_group_name_H-M_alt 'P 4/m m m'
_space_group_IT_number 123
_space_group_name_Hall '-P 4 2'
_cell_length_a 4.8340
_cell_length_b 4.8340
_cell_length_c 4.7553
_cell_angle_alpha 90.00
_cell_angle_beta 90.00
_cell_angle_gamma 90.00
loop_
_atom_site_label
_atom_site_fract_x
_atom_site_fract_y
_atom_site_fract_z
_atom_site_occupancy
Sr1 0.0000 0.0000 0.0000 1
Al1 0.5000 0.5000 0.0000 1
Ga1 0.0000 0.5000 0.5000 1
Ru1 0.5000 0.5000 0.5000 1
```

Properties
E_form: -0.383 eV/atom



[19]
Tb2Al2GaRu5 after structural relaxation, computed with GGA-PBE.

```
data_Tb2Al2GaRu5
_chemical_formula_sum 'Tb4 Al4 Ga2 Ru10'
_space_group_name_H-M_alt 'P 4/m b m'
_space_group_IT_number 127
_space_group_name_Hall '-P 4 2ab'
_cell_length_a 9.9947
_cell_length_b 9.9947
_cell_length_c 3.3420
_cell_angle_alpha 90.00
_cell_angle_beta 90.00
_cell_angle_gamma 90.00
loop_
_atom_site_label
_atom_site_fract_x
_atom_site_fract_y
_atom_site_fract_z
_atom_site_occupancy
Tb1 0.1708 0.3292 0.0000 1
Al1 0.1288 0.6288 0.0000 1
Ga1 0.0000 0.0000 0.0000 1
Ru1 0.0000 0.5000 0.5000 1
Ru2 0.0628 0.8048 0.5000 1
```

Properties
E_form: -0.366 eV/atom



[20]
AlGaTcRu after structural relaxation, computed with GGA-PBE.

```
data_AlGaTcRu
_chemical_formula_sum 'Al4 Ga4 Tc4 Ru4'
_space_group_name_H-M_alt 'F -4 3 m'
_space_group_IT_number 216
_space_group_name_Hall 'F -4 2 3'
_cell_length_a 6.0738
_cell_length_b 6.0738
_cell_length_c 6.0738
_cell_angle_alpha 90.00
_cell_angle_beta 90.00
_cell_angle_gamma 90.00
loop_
_atom_site_label
_atom_site_fract_x
_atom_site_fract_y
_atom_site_fract_z
_atom_site_occupancy
Al1 0.0000 0.0000 0.0000 1
Ga1 0.0000 0.0000 0.5000 1
Tc1 0.2500 0.2500 0.2500 1
Ru1 0.2500 0.2500 0.7500 1
```

Properties
E_form: -0.293 eV/atom



[21]
Th2AlGa2Ru5 after structural relaxation, computed with GGA-PBE.

```
data_Th2AlGa2Ru5
_chemical_formula_sum 'Th4 Al2 Ga4 Ru10'
_space_group_name_H-M_alt 'P 4/m b m'
_space_group_IT_number 127
_space_group_name_Hall '-P 4 2ab'
_cell_length_a 10.0841
_cell_length_b 10.0841
_cell_length_c 3.4432
_cell_angle_alpha 90.00
_cell_angle_beta 90.00
_cell_angle_gamma 90.00
loop_
_atom_site_label
_atom_site_fract_x
_atom_site_fract_y
_atom_site_fract_z
_atom_site_occupancy
Th1 0.1738 0.3262 0.0000 1
Al1 0.0000 0.0000 0.0000 1
Ga1 0.1255 0.6255 0.0000 1
Ru1 0.0000 0.5000 0.5000 1
Ru2 0.0706 0.7997 0.5000 1
```

Properties
E_form: -0.413 eV/atom



[22]
ThAlGaRu after structural relaxation, computed with GGA-PBE.

```
data_ThAlGaRu
_chemical_formula_sum 'Th3 Al3 Ga3 Ru3'
_space_group_name_H-M_alt 'R 3 m'
_space_group_IT_number 160
_space_group_name_Hall 'R 3 -2"'
_cell_length_a 4.2663
_cell_length_b 4.2663
_cell_length_c 15.6119
_cell_angle_alpha 90.00
_cell_angle_beta 90.00
_cell_angle_gamma 120.00
loop_
_atom_site_label
_atom_site_fract_x
_atom_site_fract_y
_atom_site_fract_z
_atom_site_occupancy
Th1 0.0000 0.0000 0.0000 1
Al1 0.0000 0.0000 0.7924 1
Ga1 0.0000 0.0000 0.2098 1
Ru1 0.0000 0.0000 0.4910 1
```

Properties
E_form: -0.452 eV/atom



[23]
Th2Al2GaRu5 after structural relaxation, computed with GGA-PBE.

```
data_Th2Al2GaRu5
_chemical_formula_sum 'Th4 Al4 Ga2 Ru10'
_space_group_name_H-M_alt 'P 4/m b m'
_space_group_IT_number 127
_space_group_name_Hall '-P 4 2ab'
_cell_length_a 10.1160
_cell_length_b 10.1160
_cell_length_c 3.4091
_cell_angle_alpha 90.00
_cell_angle_beta 90.00
_cell_angle_gamma 90.00
loop_
_atom_site_label
_atom_site_fract_x
_atom_site_fract_y
_atom_site_fract_z
_atom_site_occupancy
Th1 0.1754 0.3246 0.0000 1
Al1 0.1240 0.6240 0.0000 1
Ga1 0.0000 0.0000 0.0000 1
Ru1 0.0000 0.5000 0.5000 1
Ru2 0.0712 0.7973 0.5000 1
```

Properties
E_form: -0.422 eV/atom



[24]
Tm2Al2GaRu5 after structural relaxation, computed with GGA-PBE.

```
data_Tm2Al2GaRu5
_chemical_formula_sum 'Tm4 Al4 Ga2 Ru10'
_space_group_name_H-M_alt 'P 4/m b m'
_space_group_IT_number 127
_space_group_name_Hall '-P 4 2ab'
_cell_length_a 9.9335
_cell_length_b 9.9335
_cell_length_c 3.3190
_cell_angle_alpha 90.00
_cell_angle_beta 90.00
_cell_angle_gamma 90.00
loop_
_atom_site_label
_atom_site_fract_x
_atom_site_fract_y
_atom_site_fract_z
_atom_site_occupancy
Tm1 0.1700 0.3300 0.0000 1
Al1 0.1294 0.6294 0.0000 1
Ga1 0.0000 0.0000 0.0000 1
Ru1 0.0000 0.5000 0.5000 1
Ru2 0.0634 0.8053 0.5000 1
```

Properties
E_form: -0.410 eV/atom